a.
This record from the Alexandria database describes NaMgV3 after structural relaxation. The functional is PBE.

Output
Total moment (μB/f.u.): 10.749
DOS(E_F) (states/eV per cell): 11.70

Unit cell a=5.094 b=5.094 c=5.094 alpha=90.00 beta=90.00 gamma=90.00
Space group Pm-3m (No. 221)
Asymmetric unit:
Na: 0.000 0.000 0.000 (multiplicity 1)
Mg: 0.500 0.500 0.500 (multiplicity 1)
V: 0.000 0.500 0.500 (multiplicity 3)



b.
This record from the Alexandria database describes NaMgV3 after structural relaxation. The functional is PBE.

Output
Total moment (μB/f.u.): 1.024
DOS(E_F) (states/eV per cell): 8.06

Unit cell a=4.548 b=4.548 c=4.548 alpha=90.00 beta=90.00 gamma=90.00
Space group Pm-3m (No. 221)
Asymmetric unit:
Na: 0.000 0.000 0.000 (multiplicity 1)
Mg: 0.500 0.500 0.500 (multiplicity 1)
V: 0.000 0.000 0.500 (multiplicity 3)



Most stable = a



a.
This record from the Alexandria database describes NaMg14V after structural relaxation. The functional is PBE.

Output
Total moment (μB/f.u.): 3.664
DOS(E_F) (states/eV per cell): 7.92

Unit cell a=6.3801 b=6.3801 c=10.3408 alpha=90.00 beta=90.00 gamma=120.00
Space group P-6m2 (No. 187)
Asymmetric unit:
Na: 0.0000 0.0000 0.0000 (multiplicity 1)
Mg: 0.0050 0.5025 0.0000 (multiplicity 3)
Mg: 0.1650 0.3300 0.2595 (multiplicity 6)
Mg: 0.5013 0.0025 0.5000 (multiplicity 3)
Mg: 0.6667 0.3333 0.2449 (multiplicity 2)
V: 0.0000 0.0000 0.5000 (multiplicity 1)



b.
This record from the Alexandria database describes NaMg14V after structural relaxation. The functional is PBE.

Output
Total moment (μB/f.u.): 3.847
DOS(E_F) (states/eV per cell): 16.87

Unit cell a=10.398 b=6.395 c=10.986 alpha=90.00 beta=90.00 gamma=90.00
Space group Amm2 (No. 38)
Asymmetric unit:
Na: 0.000 0.000 0.000 (multiplicity 2)
Mg: 0.000 0.248 0.750 (multiplicity 4)
Mg: 0.240 0.000 0.336 (multiplicity 4)
Mg: 0.246 0.244 0.583 (multiplicity 8)
Mg: 0.254 0.000 0.833 (multiplicity 4)
Mg: 0.500 0.000 0.002 (multiplicity 2)
Mg: 0.500 0.000 0.500 (multiplicity 2)
Mg: 0.500 0.248 0.250 (multiplicity 4)
V: 0.000 0.000 0.502 (multiplicity 2)



Most stable = a



a.
This record from the Alexandria database describes NaMg2W after structural relaxation. The functional is PBE.

Output
Total moment (μB/f.u.): 2.620
DOS(E_F) (states/eV per cell): 13.60

Unit cell a=7.661 b=7.661 c=6.035 alpha=90.00 beta=90.00 gamma=90.00
Space group I-42d (No. 122)
Asymmetric unit:
Na: 0.000 0.000 0.000 (multiplicity 4)
Mg: 0.247 0.250 0.625 (multiplicity 8)
W: 0.000 0.000 0.500 (multiplicity 4)



b.
This record from the Alexandria database describes NaMg2W after structural relaxation. The functional is PBE.

Output
Total moment (μB/f.u.): 2.654
DOS(E_F) (states/eV per cell): 9.56

Unit cell a=6.935 b=6.935 c=6.935 alpha=90.00 beta=90.00 gamma=90.00
Space group Fm-3m (No. 225)
Asymmetric unit:
Na: 0.000 0.000 0.000 (multiplicity 4)
Mg: 0.250 0.250 0.250 (multiplicity 8)
W: 0.000 0.000 0.500 (multiplicity 4)



Most stable = b



a.
This record from the Alexandria database describes NaMg14W after structural relaxation. The functional is PBE.

Output
Total moment (μB/f.u.): 0.833
DOS(E_F) (states/eV per cell): 7.91

Unit cell a=6.3327 b=6.3327 c=10.1804 alpha=90.00 beta=90.00 gamma=120.00
Space group P-6m2 (No. 187)
Asymmetric unit:
Na: 0.0000 0.0000 0.0000 (multiplicity 1)
Mg: 0.0058 0.5029 0.0000 (multiplicity 3)
Mg: 0.1616 0.3232 0.2654 (multiplicity 6)
Mg: 0.5018 0.0035 0.5000 (multiplicity 3)
Mg: 0.6667 0.3333 0.2442 (multiplicity 2)
W: 0.0000 0.0000 0.5000 (multiplicity 1)



b.
This record from the Alexandria database describes NaMg14W after structural relaxation. The functional is PBE.

Output
Total moment (μB/f.u.): 0.000
DOS(E_F) (states/eV per cell): 21.54

Unit cell a=8.960 b=8.972 c=8.758 alpha=90.00 beta=90.00 gamma=90.00
Space group Cmmm (No. 65)
Asymmetric unit:
Na: 0.000 0.000 0.000 (multiplicity 2)
Mg: 0.000 0.000 0.500 (multiplicity 2)
Mg: 0.000 0.265 0.243 (multiplicity 8)
Mg: 0.000 0.500 0.500 (multiplicity 2)
Mg: 0.235 0.500 0.243 (multiplicity 8)
Mg: 0.250 0.250 0.000 (multiplicity 4)
Mg: 0.250 0.250 0.500 (multiplicity 4)
W: 0.000 0.500 0.000 (multiplicity 2)



Most stable = b



a.
This record from the Alexandria database describes NaMg6W after structural relaxation. The functional is PBE.

Output
Total moment (μB/f.u.): 0.000
DOS(E_F) (states/eV per cell): 1.54

Unit cell a=6.2287 b=6.2287 c=4.9758 alpha=90.00 beta=90.00 gamma=120.00
Space group P-6m2 (No. 187)
Asymmetric unit:
Na: 0.0000 0.0000 0.0000 (multiplicity 1)
Mg: 0.0258 0.5129 0.0000 (multiplicity 3)
Mg: 0.3382 0.1691 0.5000 (multiplicity 3)
W: 0.3333 0.6667 0.5000 (multiplicity 1)



b.
This record from the Alexandria database describes NaMg6W after structural relaxation. The functional is PBE.

Output
Total moment (μB/f.u.): 0.000
DOS(E_F) (states/eV per cell): 4.86

Unit cell a=6.215 b=6.215 c=4.397 alpha=90.00 beta=90.00 gamma=90.00
Space group P4/mmm (No. 123)
Asymmetric unit:
Na: 0.000 0.000 0.000 (multiplicity 1)
Mg: 0.000 0.500 0.000 (multiplicity 2)
Mg: 0.271 0.271 0.500 (multiplicity 4)
W: 0.500 0.500 0.000 (multiplicity 1)



Most stable = b



a.
This record from the Alexandria database describes NaMgZn2 after structural relaxation. The functional is PBE.

Output
Total moment (μB/f.u.): 0.000
DOS(E_F) (states/eV per cell): 1.74

Unit cell a=3.208 b=3.208 c=7.900 alpha=90.00 beta=90.00 gamma=90.00
Space group P4/mmm (No. 123)
Asymmetric unit:
Na: 0.000 0.000 0.000 (multiplicity 1)
Mg: 0.000 0.000 0.500 (multiplicity 1)
Zn: 0.500 0.500 0.279 (multiplicity 2)



b.
This record from the Alexandria database describes NaMgZn2 after structural relaxation. The functional is PBE.

Output
Total moment (μB/f.u.): 0.000
DOS(E_F) (states/eV per cell): 6.05

Unit cell a=6.842 b=6.842 c=6.842 alpha=90.00 beta=90.00 gamma=90.00
Space group Fm-3m (No. 225)
Asymmetric unit:
Na: 0.000 0.000 0.000 (multiplicity 4)
Mg: 0.000 0.000 0.500 (multiplicity 4)
Zn: 0.250 0.250 0.250 (multiplicity 8)



c.
This record from the Alexandria database describes NaMgZn2 after structural relaxation. The functional is PBE.

Output
Total moment (μB/f.u.): 0.000
DOS(E_F) (states/eV per cell): 7.54

Unit cell a=7.791 b=7.791 c=5.942 alpha=90.00 beta=90.00 gamma=90.00
Space group I-42d (No. 122)
Asymmetric unit:
Na: 0.000 0.000 0.000 (multiplicity 4)
Mg: 0.000 0.000 0.500 (multiplicity 4)
Zn: 0.234 0.250 0.625 (multiplicity 8)



Most stable = a



a.
This record from the Alexandria database describes NaMgZn after structural relaxation. The functional is PBE.

Output
Total moment (μB/f.u.): 0.000
DOS(E_F) (states/eV per cell): 8.35

Unit cell a=5.350 b=9.543 c=10.674 alpha=90.00 beta=90.00 gamma=90.00
Space group Fmmm (No. 69)
Asymmetric unit:
Na: 0.000 0.162 0.000 (multiplicity 8)
Mg: 0.000 0.000 0.335 (multiplicity 8)
Zn: 0.250 0.250 0.250 (multiplicity 8)



b.
This record from the Alexandria database describes NaMgZn after structural relaxation. The functional is PBE.

Output
Total moment (μB/f.u.): 0.000
DOS(E_F) (states/eV per cell): 1.79

Unit cell a=5.0055 b=5.0055 c=3.1773 alpha=90.00 beta=90.00 gamma=120.00
Space group P3m1 (No. 156)
Asymmetric unit:
Na: 0.0000 0.0000 0.0000 (multiplicity 1)
Mg: 0.6667 0.3333 0.5027 (multiplicity 1)
Zn: 0.3333 0.6667 0.4906 (multiplicity 1)



Most stable = a



a.
This record from the Alexandria database describes NaMgZn after structural relaxation. The functional is PBE.

Output
Total moment (μB/f.u.): 0.000
DOS(E_F) (states/eV per cell): 2.37

Unit cell a=3.317 b=3.317 c=12.576 alpha=90.00 beta=90.00 gamma=90.00
Space group I4mm (No. 107)
Asymmetric unit:
Na: 0.000 0.000 0.000 (multiplicity 2)
Mg: 0.000 0.000 0.292 (multiplicity 2)
Zn: 0.000 0.000 0.667 (multiplicity 2)



b.
This record from the Alexandria database describes NaMgZn after structural relaxation. The functional is PBE.

Output
Total moment (μB/f.u.): 0.000
DOS(E_F) (states/eV per cell): 5.80

Unit cell a=15.294 b=3.190 c=5.654 alpha=90.00 beta=90.00 gamma=90.00
Space group Amm2 (No. 38)
Asymmetric unit:
Na: 0.166 0.000 0.000 (multiplicity 4)
Mg: 0.358 0.000 0.679 (multiplicity 4)
Zn: 0.000 0.000 0.673 (multiplicity 2)
Zn: 0.500 0.000 0.012 (multiplicity 2)



Most stable = a



a.
This record from the Alexandria database describes Na2MgZn after structural relaxation. The functional is PBE.

Output
Total moment (μB/f.u.): 0.000
DOS(E_F) (states/eV per cell): 7.60

Unit cell a=7.457 b=7.457 c=7.457 alpha=90.00 beta=90.00 gamma=90.00
Space group Fm-3m (No. 225)
Asymmetric unit:
Na: 0.250 0.250 0.250 (multiplicity 8)
Mg: 0.000 0.000 0.000 (multiplicity 4)
Zn: 0.000 0.000 0.500 (multiplicity 4)



b.
This record from the Alexandria database describes Na2MgZn after structural relaxation. The functional is PBE.

Output
Total moment (μB/f.u.): 0.000
DOS(E_F) (states/eV per cell): 8.77

Unit cell a=3.2461 b=3.2461 c=34.1105 alpha=90.00 beta=90.00 gamma=120.00
Space group R-3m (No. 166, hexagonal axes)
Asymmetric unit:
Na: 0.0000 0.0000 0.0936 (multiplicity 6)
Mg: 0.0000 0.0000 0.0000 (multiplicity 3)
Zn: 0.0000 0.0000 0.5000 (multiplicity 3)



c.
This record from the Alexandria database describes Na2MgZn after structural relaxation. The functional is PBE.

Output
Total moment (μB/f.u.): 0.000
DOS(E_F) (states/eV per cell): 1.49

Unit cell a=4.471 b=4.471 c=4.983 alpha=90.00 beta=90.00 gamma=90.00
Space group P4/mmm (No. 123)
Asymmetric unit:
Na: 0.000 0.500 0.000 (multiplicity 2)
Mg: 0.000 0.000 0.500 (multiplicity 1)
Zn: 0.500 0.500 0.500 (multiplicity 1)



Most stable = c



a.
This record from the Alexandria database describes NaMg6Zr after structural relaxation. The functional is PBE.

Output
Total moment (μB/f.u.): 0.797
DOS(E_F) (states/eV per cell): 11.69

Unit cell a=5.124 b=6.499 c=11.275 alpha=90.00 beta=90.00 gamma=90.00
Space group Amm2 (No. 38)
Asymmetric unit:
Na: 0.000 0.000 0.000 (multiplicity 2)
Mg: 0.000 0.000 0.496 (multiplicity 2)
Mg: 0.000 0.243 0.252 (multiplicity 4)
Mg: 0.500 0.000 0.829 (multiplicity 2)
Mg: 0.500 0.243 0.586 (multiplicity 4)
Zr: 0.500 0.000 0.334 (multiplicity 2)



b.
This record from the Alexandria database describes NaMg6Zr after structural relaxation. The functional is PBE.

Output
Total moment (μB/f.u.): 0.871
DOS(E_F) (states/eV per cell): 6.47

Unit cell a=6.443 b=6.443 c=4.563 alpha=90.00 beta=90.00 gamma=90.00
Space group P4/mmm (No. 123)
Asymmetric unit:
Na: 0.000 0.000 0.000 (multiplicity 1)
Mg: 0.000 0.500 0.000 (multiplicity 2)
Mg: 0.260 0.260 0.500 (multiplicity 4)
Zr: 0.500 0.500 0.000 (multiplicity 1)



Most stable = a



a.
This record from the Alexandria database describes NaMg14Zr after structural relaxation. The functional is PBE.

Output
Total moment (μB/f.u.): 0.000
DOS(E_F) (states/eV per cell): 6.12

Unit cell a=6.4713 b=6.4713 c=10.2664 alpha=90.00 beta=90.00 gamma=120.00
Space group P-6m2 (No. 187)
Asymmetric unit:
Na: 0.0000 0.0000 0.0000 (multiplicity 1)
Mg: 0.0029 0.5014 0.0000 (multiplicity 3)
Mg: 0.0055 0.5028 0.5000 (multiplicity 3)
Mg: 0.1650 0.3299 0.2557 (multiplicity 6)
Mg: 0.6667 0.3333 0.2541 (multiplicity 2)
Zr: 0.0000 0.0000 0.5000 (multiplicity 1)



b.
This record from the Alexandria database describes NaMg14Zr after structural relaxation. The functional is PBE.

Output
Total moment (μB/f.u.): 0.000
DOS(E_F) (states/eV per cell): 18.57

Unit cell a=9.893 b=7.515 c=10.022 alpha=90.00 beta=90.00 gamma=90.00
Space group Amm2 (No. 38)
Asymmetric unit:
Na: 0.000 0.000 0.000 (multiplicity 2)
Mg: 0.000 0.225 0.735 (multiplicity 4)
Mg: 0.233 0.000 0.241 (multiplicity 4)
Mg: 0.250 0.233 0.966 (multiplicity 8)
Mg: 0.258 0.000 0.692 (multiplicity 4)
Mg: 0.500 0.000 0.456 (multiplicity 2)
Mg: 0.500 0.000 0.909 (multiplicity 2)
Mg: 0.500 0.214 0.186 (multiplicity 4)
Zr: 0.000 0.000 0.471 (multiplicity 2)



Most stable = a